DFT (PBE) results for an optimized crystal structure of TbSm2Ho6Tm3.

Lattice parameters (Å, degrees): 6.1211 6.1211 11.7053 94.99 94.99 119.94
Last column: nearest neighbours and their distance in Å.
Sites, in units of the cell vectors:
Tb  0.0000  0.0000  0.0000  6 Sm 3.53-3.54, 6 Ho 3.56
Sm  0.3333  0.6667  0.0000  3 Tb 3.53-3.54, 3 Sm 3.53-3.54, 6 Ho 3.56
Sm  0.6667  0.3333  0.0000  3 Tb 3.53-3.54, 3 Sm 3.53-3.54, 6 Ho 3.56
Ho  0.0851  0.4181  0.2532  3 Tm 3.50, 6 Ho 3.53-3.54, 2 Sm 3.56, 1 Tb 3.56
Ho  0.2479  0.2479  0.7467  3 Tm 3.50, 6 Ho 3.53-3.54, 1 Tb 3.56, 2 Sm 3.56
Ho  0.4181  0.0851  0.2532  3 Tm 3.50, 6 Ho 3.53-3.54, 2 Sm 3.56, 1 Tb 3.56
Ho  0.5819  0.9149  0.7468  3 Tm 3.50, 6 Ho 3.53-3.54, 2 Sm 3.56, 1 Tb 3.56
Ho  0.7521  0.7521  0.2533  3 Tm 3.50, 6 Ho 3.53-3.54, 1 Tb 3.56, 2 Sm 3.56
Ho  0.9149  0.5819  0.7468  3 Tm 3.50, 6 Ho 3.53-3.54, 2 Sm 3.56, 1 Tb 3.56
Tm  0.1665  0.8335  0.5000  6 Ho 3.50, 6 Tm 3.53-3.54
Tm  0.5000  0.5000  0.5000  6 Ho 3.50, 6 Tm 3.53-3.54
Tm  0.8335  0.1665  0.5000  6 Ho 3.50, 6 Tm 3.53-3.54

Properties
- Crystal system: monoclinic
- Total moment: 0.000 μB per formula unit
- Electronic total energy: -54.7 eV/cell
- ρ: 8.679 g/cm3
- Formation energy from the elements: 0.02 eV/atom